# NpSbN (PBE, optimized geometry)
# Formation energy (no corrections) = -835 meV per atom
# Total moment = 6.55 μB per cell
# Offset from the most stable computed form = 0.00 kJ/mol of atoms
data_NpSbN
_chemical_formula_sum 'Np2 Sb2 N2'
_space_group_name_H-M_alt 'P 4/n m m'
_space_group_IT_number 129
_cell_length_a 3.9379
_cell_length_b 3.9379
_cell_length_c 7.5642
_cell_angle_alpha 90.00
_cell_angle_beta 90.00
_cell_angle_gamma 90.00
loop_
_space_group_symop_operation_xyz
'x,y,z'
'-x,-y,-z'
'-y+1/2,x,z'
'y+1/2,-x,-z'
'-x+1/2,-y+1/2,z'
'x+1/2,y+1/2,-z'
'y,-x+1/2,z'
'-y,x+1/2,-z'
'x+1/2,-y,-z'
'-x+1/2,y,z'
'-y,-x,-z'
'y,x,z'
'-x,y+1/2,-z'
'x,-y+1/2,z'
'y+1/2,x+1/2,-z'
'-y+1/2,-x+1/2,z'
loop_
_atom_site_label
_atom_site_type_symbol
_atom_site_fract_x
_atom_site_fract_y
_atom_site_fract_z
Np1 Np 0.2500 0.2500 0.1435
Sb1 Sb 0.2500 0.2500 0.5905
N1 N 0.2500 0.7500 0.0000